(1)
Sm2MgGe2: PBEsol geometry, meta-GGA SCAN.

```
Sm2MgGe2
1.0
7.3147 0.0000 0.0000
0.0000 7.3147 0.0000
0.0000 0.0000 4.2683
Sm Mg Ge
4 2 4
direct
0.1779 0.3221 0.0000
0.3221 0.8221 0.0000
0.6779 0.1779 0.0000
0.8221 0.6779 0.0000
0.0000 0.0000 0.5000
0.5000 0.5000 0.5000
0.1217 0.6217 0.5000
0.3783 0.1217 0.5000
0.6217 0.8783 0.5000
0.8783 0.3783 0.5000
```

The total magnetic moment is 0.00 μB/cell. As for the space group: No. 127. Its crystal system is tetragonal. For the energy of formation from the pure elements, the calculation gives -0.858 eV/atom.

(2)
Mg2SnGe2: PBEsol geometry, meta-GGA SCAN.

```
Mg2SnGe2
1.0
8.1959 0.0000 0.0000
0.0000 8.1959 0.0000
0.0000 0.0000 3.0572
Mg Sn Ge
4 2 4
direct
0.1359 0.3641 0.0000
0.3641 0.8641 0.0000
0.6359 0.1359 0.0000
0.8641 0.6359 0.0000
0.0000 0.0000 0.5000
0.5000 0.5000 0.5000
0.1618 0.6618 0.5000
0.3382 0.1618 0.5000
0.6618 0.8382 0.5000
0.8382 0.3382 0.5000
```

The total magnetic moment is 0.00 μB/cell. As for the space group: No. 127. Its crystal system is tetragonal. For the energy of formation from the pure elements, the calculation gives -0.056 eV/atom.

(3)
Mg2TaGeW: PBEsol geometry, meta-GGA SCAN.

```
Mg2TaGeW
1.0
4.5610 0.0000 0.0000
0.0000 4.5610 0.0000
0.0000 0.0000 4.8798
Mg Ta Ge W
2 1 1 1
direct
0.0000 0.5000 0.0000
0.5000 0.0000 0.0000
0.0000 0.0000 0.5000
0.0000 0.0000 0.0000
0.5000 0.5000 0.5000
```

The total magnetic moment is 1.57 μB/cell. As for the space group: No. 123. Its crystal system is tetragonal. For the energy of formation from the pure elements, the calculation gives 1.311 eV/atom.

(4)
Tb4MgGe4: PBEsol geometry, meta-GGA SCAN.

```
Tb4MgGe4
1.0
7.1297 0.0000 0.0000
0.0000 14.5250 0.0000
0.0000 0.0000 7.6881
Tb Mg Ge
16 4 16
direct
0.0118 0.0948 0.1829
0.0118 0.4052 0.1829
0.1699 0.1272 0.6783
0.1699 0.3728 0.6783
0.3301 0.6272 0.1783
0.3301 0.8728 0.1783
0.4882 0.5948 0.6829
0.4882 0.9052 0.6829
0.5118 0.0948 0.3171
0.5118 0.4052 0.3171
0.6699 0.1272 0.8217
0.6699 0.3728 0.8217
0.8301 0.6272 0.3217
0.8301 0.8728 0.3217
0.9882 0.5948 0.8171
0.9882 0.9052 0.8171
0.1601 0.7500 0.5209
0.3399 0.2500 0.0209
0.6601 0.7500 0.9791
0.8399 0.2500 0.4791
0.0233 0.7500 0.0855
0.1686 0.5355 0.4662
0.1686 0.9645 0.4662
0.2140 0.2500 0.3620
0.2860 0.7500 0.8620
0.3314 0.0355 0.9662
0.3314 0.4645 0.9662
0.4767 0.2500 0.5855
0.5233 0.7500 0.4145
0.6686 0.5355 0.0338
0.6686 0.9645 0.0338
0.7140 0.2500 0.1380
0.7860 0.7500 0.6380
0.8314 0.0355 0.5338
0.8314 0.4645 0.5338
0.9767 0.2500 0.9145
```

The total magnetic moment is 0.00 μB/cell. As for the space group: No. 62. Its crystal system is orthorhombic. For the energy of formation from the pure elements, the calculation gives -0.894 eV/atom.

(5)
MgTc2Ge: PBEsol geometry, meta-GGA SCAN.

```
MgTc2Ge
1.0
0.0000 3.0544 3.0544
3.0544 0.0000 3.0544
3.0544 3.0544 0.0000
Mg Tc Ge
1 2 1
direct
0.0000 0.0000 0.0000
0.2500 0.2500 0.2500
0.7500 0.7500 0.7500
0.5000 0.5000 0.5000
```

The total magnetic moment is 0.00 μB/cell. As for the space group: No. 225. Its crystal system is cubic. For the energy of formation from the pure elements, the calculation gives 0.168 eV/atom.

(6)
MgGeTe3: PBEsol geometry, meta-GGA SCAN.

```
MgGeTe3
1.0
5.3267 0.0000 0.0000
0.0000 5.3267 0.0000
0.0000 0.0000 5.3267
Mg Ge Te
1 1 3
direct
0.0000 0.0000 0.0000
0.5000 0.5000 0.5000
0.0000 0.0000 0.5000
0.0000 0.5000 0.0000
0.5000 0.0000 0.0000
```

The total magnetic moment is 0.00 μB/cell. The raw formation energy comes out at 0.4290 eV per atom. As for the space group: No. 221. Its crystal system is cubic.

(7)
MgTlGe3: PBEsol geometry, meta-GGA SCAN.

```
MgTlGe3
1.0
5.2688 0.0000 0.0000
0.0000 5.2688 0.0000
0.0000 0.0000 5.2688
Mg Tl Ge
1 1 3
direct
0.0000 0.0000 0.0000
0.5000 0.5000 0.5000
0.0000 0.5000 0.5000
0.5000 0.0000 0.5000
0.5000 0.5000 0.0000
```

The total magnetic moment is 0.00 μB/cell. As for the space group: No. 221. Its crystal system is cubic. For the energy of formation from the pure elements, the calculation gives 1.016 eV/atom.

(8)
MgGeW3: PBEsol geometry, meta-GGA SCAN.

```
MgGeW3
1.0
4.5195 0.0000 0.0000
0.0000 4.5195 0.0000
0.0000 0.0000 4.5195
Mg Ge W
1 1 3
direct
0.0000 0.0000 0.0000
0.5000 0.5000 0.5000
0.0000 0.0000 0.5000
0.0000 0.5000 0.0000
0.5000 0.0000 0.0000
```

The total magnetic moment is 2.18 μB/cell. As for the space group: No. 221. Its crystal system is cubic. For the energy of formation from the pure elements, the calculation gives 2.768 eV/atom.